! BePAu (PBE-GGA, optimized geometry); values from VASP
! - SG = P1 (1)
! - volume (Å³/cell) = 105.1
! - E_form (eV/atom) = -0.08
&SYSTEM
  ibrav = 0, nat = 6, ntyp = 3
/
ATOMIC_SPECIES
Be 9.01 Be.upf
P 30.97 P.upf
Au 196.97 Au.upf
CELL_PARAMETERS angstrom
3.733 0.000 0.000
0.357 4.524 0.000
0.075 1.742 6.221
ATOMIC_POSITIONS crystal
Be 0.000 0.000 0.000
Be 0.482 0.024 0.493
P 0.507 0.955 0.853
P 0.962 0.091 0.307
Au 0.158 0.556 0.360
Au 0.597 0.492 0.743

=====

! Ac7Mg2Co2 (PBE-GGA, optimized geometry); values from VASP
! - SG = Imm2 (44)
! - volume (Å³/cell) = 382.9
! - E_form (eV/atom) = 0.04
&SYSTEM
  ibrav = 0, nat = 11, ntyp = 3
/
ATOMIC_SPECIES
Ac 227.00 Ac.upf
Mg 24.30 Mg.upf
Co 58.93 Co.upf
CELL_PARAMETERS angstrom
-1.971 8.424 5.765
1.971 -8.424 5.765
1.971 8.424 -5.765
ATOMIC_POSITIONS crystal
Ac 0.000 0.000 0.000
Ac 0.063 0.705 0.358
Ac 0.334 0.515 0.819
Ac 0.346 0.705 0.642
Ac 0.661 0.316 0.345
Ac 0.697 0.515 0.181
Ac 0.971 0.316 0.655
Mg 0.464 0.964 0.500
Mg 0.682 0.682 0.000
Co 0.202 0.020 0.182
Co 0.837 0.020 0.818

=====

! Pr2Sm3Al (PBE-GGA, optimized geometry); values from VASP
! - SG = Cmmm (65)
! - volume (Å³/cell) = 372.6
! - E_form (eV/atom) = -0.07
&SYSTEM
  ibrav = 0, nat = 12, ntyp = 3
/
ATOMIC_SPECIES
Pr 140.91 Pr.upf
Sm 150.36 Sm.upf
Al 26.98 Al.upf
CELL_PARAMETERS angstrom
4.906 0.000 0.000
0.000 15.411 0.000
0.000 0.000 4.929
ATOMIC_POSITIONS crystal
Pr 0.000 0.160 0.000
Pr 0.000 0.840 0.000
Pr 0.500 0.340 0.000
Pr 0.500 0.660 0.000
Sm 0.000 0.000 0.500
Sm 0.000 0.341 0.500
Sm 0.000 0.659 0.500
Sm 0.500 0.159 0.500
Sm 0.500 0.500 0.500
Sm 0.500 0.841 0.500
Al 0.000 0.500 0.000
Al 0.500 0.000 0.000

=====

! CaBe3Au (PBE-GGA, optimized geometry); values from VASP
! - excess energy over the best structure of this formula in the dataset (meV/atom) = 1916
! - SG = Pm-3m (221)
! - volume (Å³/cell) = 136.1
! - E_form (eV/atom) = 2.07
&SYSTEM
  ibrav = 0, nat = 5, ntyp = 3
/
ATOMIC_SPECIES
Ca 40.08 Ca.upf
Be 9.01 Be.upf
Au 196.97 Au.upf
CELL_PARAMETERS angstrom
5.144 0.000 0.000
0.000 5.144 0.000
0.000 0.000 5.144
ATOMIC_POSITIONS crystal
Ca 0.000 0.000 0.000
Be 0.000 0.000 0.500
Be 0.000 0.500 0.000
Be 0.500 0.000 0.000
Au 0.500 0.500 0.500

=====

! LiSmHoRu (PBE-GGA, optimized geometry); values from VASP
! - SG = F-43m (216)
! - volume (Å³/cell) = 342.7
! - E_form (eV/atom) = -0.24
&SYSTEM
  ibrav = 0, nat = 16, ntyp = 4
/
ATOMIC_SPECIES
Li 6.94 Li.upf
Sm 150.36 Sm.upf
Ho 164.93 Ho.upf
Ru 101.07 Ru.upf
CELL_PARAMETERS angstrom
6.998 0.000 0.000
0.000 6.998 0.000
0.000 0.000 6.998
ATOMIC_POSITIONS crystal
Li 0.000 0.000 0.000
Li 0.000 0.500 0.500
Li 0.500 0.000 0.500
Li 0.500 0.500 0.000
Sm 0.250 0.250 0.750
Sm 0.250 0.750 0.250
Sm 0.750 0.250 0.250
Sm 0.750 0.750 0.750
Ho 0.250 0.250 0.250
Ho 0.250 0.750 0.750
Ho 0.750 0.250 0.750
Ho 0.750 0.750 0.250
Ru 0.000 0.000 0.500
Ru 0.000 0.500 0.000
Ru 0.500 0.000 0.000
Ru 0.500 0.500 0.500

=====

! Ge2AsRh8 (PBE-GGA, optimized geometry); values from VASP
! - SG = Immm (71)
! - volume (Å³/cell) = 161.1
! - E_form (eV/atom) = -0.22
&SYSTEM
  ibrav = 0, nat = 11, ntyp = 3
/
ATOMIC_SPECIES
Ge 72.64 Ge.upf
As 74.92 As.upf
Rh 102.91 Rh.upf
CELL_PARAMETERS angstrom
-2.037 3.439 5.749
2.037 -3.439 5.749
2.037 3.439 -5.749
ATOMIC_POSITIONS crystal
Ge 0.192 0.192 0.000
Ge 0.808 0.808 0.000
As 0.500 0.500 0.000
Rh 0.067 0.341 0.726
Rh 0.188 0.000 0.188
Rh 0.360 0.860 0.500
Rh 0.386 0.659 0.726
Rh 0.614 0.341 0.274
Rh 0.640 0.140 0.500
Rh 0.812 0.000 0.812
Rh 0.933 0.659 0.274

=====

Which formula does entry 6 have?
Ge2AsRh8